# 1
{
  "formula": "CaSi7N10",
  "functional": "SCAN",
  "state": "PBEsol geometry",
  "raw_formation_energy_kcal_per_mol_atoms": -30.7,
  "magmom_total_mub_per_cell": 0.00,
  "total_energy_ev_per_cell": -393.4,
  "lattice": [[6.813, 0.000, 0.000], [0.000, 6.785, 0.000], [-2.585, 0.000, 9.272]],
  "species": ["Ca", "Ca", "Si", "Si", "Si", "Si", "Si", "Si", "Si", "Si", "Si", "Si", "Si", "Si", "Si", "Si", "N", "N", "N", "N", "N", "N", "N", "N", "N", "N", "N", "N", "N", "N", "N", "N", "N", "N", "N", "N"],
  "frac_coords": [[0.000, 0.002, 0.000], [0.000, 0.998, 0.500], [0.061, 0.374, 0.317], [0.061, 0.626, 0.817], [0.247, 0.369, 0.636], [0.247, 0.631, 0.136], [0.372, 0.024, 0.302], [0.372, 0.976, 0.802], [0.427, 0.371, 0.940], [0.427, 0.629, 0.440], [0.559, 0.025, 0.611], [0.559, 0.975, 0.111], [0.614, 0.379, 0.244], [0.614, 0.621, 0.744], [0.800, 0.396, 0.553], [0.800, 0.604, 0.053], [0.025, 0.376, 0.495], [0.025, 0.624, 0.995], [0.157, 0.150, 0.296], [0.157, 0.850, 0.796], [0.208, 0.420, 0.803], [0.208, 0.580, 0.303], [0.342, 0.133, 0.651], [0.342, 0.867, 0.151], [0.414, 0.461, 0.104], [0.414, 0.539, 0.604], [0.458, 0.119, 0.956], [0.458, 0.881, 0.456], [0.590, 0.129, 0.262], [0.590, 0.871, 0.762], [0.624, 0.498, 0.403], [0.624, 0.502, 0.903], [0.756, 0.163, 0.598], [0.756, 0.837, 0.098], [0.832, 0.423, 0.189], [0.832, 0.577, 0.689]]
}

# 2
{
  "formula": "Sc2CuPb",
  "functional": "SCAN",
  "state": "PBEsol geometry",
  "ef_ev_per_fu": -0.88,
  "magmom_total_mub_per_cell": 0.00,
  "total_energy_ev_per_cell": -120.3,
  "lattice": [[4.210, -1.679, 0.000], [4.210, 1.679, 0.000], [-1.358, 0.000, 6.109]],
  "species": ["Sc", "Sc", "Cu", "Pb"],
  "frac_coords": [[0.237, 0.237, 0.212], [0.763, 0.763, 0.788], [0.500, 0.500, 0.000], [0.000, 0.000, 0.500]]
}

# 3
{
  "formula": "Zn2PbW",
  "functional": "SCAN",
  "state": "PBEsol geometry",
  "ef_ev_per_fu": 2.16,
  "magmom_total_mub_per_cell": 0.00,
  "total_energy_ev_per_cell": -170.3,
  "lattice": [[-1.936, 1.936, 4.418], [1.936, -1.936, 4.418], [1.936, 1.936, -4.418]],
  "species": ["Zn", "Zn", "Pb", "W"],
  "frac_coords": [[0.000, 0.000, 0.000], [0.750, 0.250, 0.500], [0.250, 0.750, 0.500], [0.500, 0.500, 0.000]]
}

# 4
{
  "formula": "Ba2LiAl",
  "functional": "SCAN",
  "state": "PBEsol geometry",
  "ef_ev_per_fu": 0.23,
  "magmom_total_mub_per_cell": 0.00,
  "total_energy_ev_per_cell": -89.0,
  "lattice": [[3.954, 0.000, 0.000], [0.000, 3.954, 0.000], [0.000, 0.000, 9.227]],
  "species": ["Ba", "Ba", "Li", "Al"],
  "frac_coords": [[0.000, 0.000, 0.000], [0.500, 0.500, 0.390], [0.000, 0.000, 0.648], [0.500, 0.500, 0.764]]
}

# 5
{
  "formula": "KLi2Mn",
  "functional": "SCAN",
  "state": "PBEsol geometry",
  "ef_ev_per_fu": 1.26,
  "magmom_total_mub_per_cell": 4.27,
  "total_energy_ev_per_cell": -30.1,
  "lattice": [[4.716, -1.504, 0.000], [4.716, 1.504, 0.000], [-0.545, 0.000, 7.180]],
  "species": ["K", "Li", "Li", "Mn"],
  "frac_coords": [[0.000, 0.000, 0.000], [0.235, 0.235, 0.661], [0.765, 0.765, 0.339], [0.500, 0.500, 0.500]]
}

# 6
{
  "formula": "OsW2O2",
  "functional": "SCAN",
  "state": "PBEsol geometry",
  "raw_formation_energy_kcal_per_mol_atoms": -15.6,
  "magmom_total_mub_per_cell": 0.00,
  "total_energy_ev_per_cell": -227.1,
  "lattice": [[-1.584, 1.584, 5.856], [1.584, -1.584, 5.856], [1.584, 1.584, -5.856]],
  "species": ["Os", "W", "W", "O", "O"],
  "frac_coords": [[0.000, 0.000, 0.000], [0.367, 0.367, 0.000], [0.633, 0.633, 0.000], [0.250, 0.750, 0.500], [0.750, 0.250, 0.500]]
}